1.
## Rb6SI4 (GGA-PBE)

Data for an optimized crystal structure of Rb6SI4.

POSCAR file:
```
Rb6SI4
1.0
7.271 4.198 6.015
-7.271 4.198 6.015
0.000 -8.396 6.015
Rb S I
12 2 8
Direct
0.058 0.925 0.711
0.075 0.289 0.942
0.211 0.425 0.558
0.289 0.942 0.075
0.425 0.558 0.211
0.442 0.789 0.575
0.558 0.211 0.425
0.575 0.442 0.789
0.711 0.058 0.925
0.789 0.575 0.442
0.925 0.711 0.058
0.942 0.075 0.289
0.000 0.000 0.000
0.500 0.500 0.500
0.118 0.750 0.382
0.250 0.250 0.250
0.250 0.618 0.882
0.382 0.118 0.750
0.618 0.882 0.250
0.750 0.382 0.118
0.750 0.750 0.750
0.882 0.250 0.618
```

Results
- formation energy (no corrections) (eV/atom) = -1.337
- electronic total energy (Ry per atom) = -0.206
- space-group type = R-3c, No. 167
- theoretical density (g cm⁻³) = 3.2

2.
## Rb6S2I (GGA-PBE)

Data for an optimized crystal structure of Rb6S2I.

POSCAR file:
```
Rb6S2I
1.0
4.274 -5.463 0.000
4.274 5.463 0.000
-1.379 0.000 8.961
Rb S I
6 2 1
Direct
0.004 0.414 0.229
0.262 0.262 0.575
0.414 0.004 0.229
0.586 0.996 0.771
0.738 0.738 0.425
0.996 0.586 0.771
0.247 0.753 0.500
0.753 0.247 0.500
0.500 0.500 0.000
```

Results
- formation energy (no corrections) (eV/atom) = -0.883
- electronic total energy (Ry per atom) = -0.192
- space-group type = C2/m, No. 12
- theoretical density (g cm⁻³) = 2.8

Among the records above, which one has the lowest theoretical density? Rb6S2I

The highest theoretical density belongs to which entry? Rb6SI4

Copy entry 1 word for word.
## Rb6SI4 (GGA-PBE)

Data for an optimized crystal structure of Rb6SI4.

POSCAR file:
```
Rb6SI4
1.0
7.271 4.198 6.015
-7.271 4.198 6.015
0.000 -8.396 6.015
Rb S I
12 2 8
Direct
0.058 0.925 0.711
0.075 0.289 0.942
0.211 0.425 0.558
0.289 0.942 0.075
0.425 0.558 0.211
0.442 0.789 0.575
0.558 0.211 0.425
0.575 0.442 0.789
0.711 0.058 0.925
0.789 0.575 0.442
0.925 0.711 0.058
0.942 0.075 0.289
0.000 0.000 0.000
0.500 0.500 0.500
0.118 0.750 0.382
0.250 0.250 0.250
0.250 0.618 0.882
0.382 0.118 0.750
0.618 0.882 0.250
0.750 0.382 0.118
0.750 0.750 0.750
0.882 0.250 0.618
```

Results
- formation energy (no corrections) (eV/atom) = -1.337
- electronic total energy (Ry per atom) = -0.206
- space-group type = R-3c, No. 167
- theoretical density (g cm⁻³) = 3.2

electronic total energy of number 2 (Rb6S2I)? -0.192 Ry per atom